# Sb5Os, relaxed, DFT PBE
data_Sb5Os
_cell_length_a 7.4380
_cell_length_b 7.4380
_cell_length_c 3.4269
_cell_angle_alpha 90.00
_cell_angle_beta 90.00
_cell_angle_gamma 120.00
_space_group_name_H-M_alt 'P 1'
_space_group_IT_number 1
loop_
_space_group_symop_operation_xyz
'x,y,z'
loop_
_atom_site_label
_atom_site_fract_x
_atom_site_fract_y
_atom_site_fract_z
Sb1 0.0000 0.7167 0.0000
Sb2 0.2833 0.2833 0.0000
Sb3 0.3333 0.6667 0.5000
Sb4 0.6667 0.3333 0.5000
Sb5 0.7167 0.0000 0.0000
Os1 0.0000 0.0000 0.5000
# E above lowest polymorph ... 210 meV per atom
# Formation energy without anion corrections ... 0.385 eV per atom
# Raw total energy ... -29.529 eV for the cell shown
# Symmetry ... P-62m

# Sb2Os3, relaxed, DFT PBE
data_Sb2Os3
_cell_length_a 4.3764
_cell_length_b 4.3764
_cell_length_c 5.5637
_cell_angle_alpha 90.00
_cell_angle_beta 90.00
_cell_angle_gamma 120.00
_space_group_name_H-M_alt 'P 1'
_space_group_IT_number 1
loop_
_space_group_symop_operation_xyz
'x,y,z'
loop_
_atom_site_label
_atom_site_fract_x
_atom_site_fract_y
_atom_site_fract_z
Sb1 0.3333 0.6667 0.2919
Sb2 0.6667 0.3333 0.7081
Os1 0.0000 0.0000 0.5000
Os2 0.3333 0.6667 0.8171
Os3 0.6667 0.3333 0.1829
# Formation energy without anion corrections ... 0.761 eV per atom
# Raw total energy ... -38.131 eV for the cell shown
# Symmetry ... P-3m1

# Sb2Os, relaxed, DFT PBE
data_Sb2Os
_cell_length_a 4.7704
_cell_length_b 4.7704
_cell_length_c 6.3286
_cell_angle_alpha 90.00
_cell_angle_beta 90.00
_cell_angle_gamma 120.00
_space_group_name_H-M_alt 'P 1'
_space_group_IT_number 1
loop_
_space_group_symop_operation_xyz
'x,y,z'
loop_
_atom_site_label
_atom_site_fract_x
_atom_site_fract_y
_atom_site_fract_z
Sb1 0.0000 0.0000 0.0000
Sb2 0.0000 0.0000 0.5000
Sb3 0.3333 0.6667 0.2500
Sb4 0.6667 0.3333 0.7500
Os1 0.3333 0.6667 0.7500
Os2 0.6667 0.3333 0.2500
# Formation energy without anion corrections ... 0.706 eV per atom
# Raw total energy ... -34.711 eV for the cell shown
# Symmetry ... P6_3/mmc

# Sb3Os, relaxed, DFT PBE
data_Sb3Os
_cell_length_a 8.1296
_cell_length_b 8.1296
_cell_length_c 4.9663
_cell_angle_alpha 90.00
_cell_angle_beta 90.00
_cell_angle_gamma 120.00
_space_group_name_H-M_alt 'P 1'
_space_group_IT_number 1
loop_
_space_group_symop_operation_xyz
'x,y,z'
loop_
_atom_site_label
_atom_site_fract_x
_atom_site_fract_y
_atom_site_fract_z
Sb1 0.0000 0.5000 0.0000
Sb2 0.1667 0.3333 0.3333
Sb3 0.1667 0.8333 0.3333
Sb4 0.3333 0.1667 0.6667
Sb5 0.5000 0.0000 0.0000
Sb6 0.5000 0.5000 0.0000
Sb7 0.6667 0.8333 0.3333
Sb8 0.8333 0.1667 0.6667
Sb9 0.8333 0.6667 0.6667
Os1 0.0000 0.0000 0.0000
Os2 0.3333 0.6667 0.6667
Os3 0.6667 0.3333 0.3333
# E above lowest polymorph ... 485 meV per atom
# Formation energy without anion corrections ... 0.693 eV per atom
# Raw total energy ... -62.474 eV for the cell shown
# Symmetry ... R-3m

# Sb2Os, relaxed, DFT PBE
data_Sb2Os
_cell_length_a 4.7041
_cell_length_b 4.7041
_cell_length_c 3.3364
_cell_angle_alpha 90.00
_cell_angle_beta 90.00
_cell_angle_gamma 120.00
_space_group_name_H-M_alt 'P 1'
_space_group_IT_number 1
loop_
_space_group_symop_operation_xyz
'x,y,z'
loop_
_atom_site_label
_atom_site_fract_x
_atom_site_fract_y
_atom_site_fract_z
Sb1 0.3333 0.6667 0.2923
Sb2 0.6667 0.3333 0.7077
Os1 0.0000 0.0000 0.5000
# Formation energy without anion corrections ... 0.683 eV per atom
# Raw total energy ... -17.425 eV for the cell shown
# Symmetry ... P-3m1

# Sb2Os, relaxed, DFT PBE
data_Sb2Os
_cell_length_a 3.1801
_cell_length_b 3.1801
_cell_length_c 13.1971
_cell_angle_alpha 90.00
_cell_angle_beta 90.00
_cell_angle_gamma 90.00
_space_group_name_H-M_alt 'P 1'
_space_group_IT_number 1
loop_
_space_group_symop_operation_xyz
'x,y,z'
loop_
_atom_site_label
_atom_site_fract_x
_atom_site_fract_y
_atom_site_fract_z
Sb1 0.0000 0.0000 0.1310
Sb2 0.0000 0.0000 0.8690
Sb3 0.5000 0.5000 0.3690
Sb4 0.5000 0.5000 0.6310
Os1 0.0000 0.0000 0.5000
Os2 0.5000 0.5000 0.0000
# Formation energy without anion corrections ... 0.246 eV per atom
# Raw total energy ... -37.471 eV for the cell shown
# Symmetry ... I4/mmm

# SbOs5, relaxed, DFT PBE
data_SbOs5
_cell_length_a 4.3614
_cell_length_b 2.8515
_cell_length_c 14.8469
_cell_angle_alpha 90.00
_cell_angle_beta 90.00
_cell_angle_gamma 90.00
_space_group_name_H-M_alt 'P 1'
_space_group_IT_number 1
loop_
_space_group_symop_operation_xyz
'x,y,z'
loop_
_atom_site_label
_atom_site_fract_x
_atom_site_fract_y
_atom_site_fract_z
Sb1 0.0000 0.0000 0.0000
Sb2 0.0000 0.5000 0.5000
Os1 0.0000 0.0000 0.3230
Os2 0.0000 0.0000 0.6749
Os3 0.0000 0.5000 0.1749
Os4 0.0000 0.5000 0.8230
Os5 0.5000 0.0000 0.1151
Os6 0.5000 0.0000 0.4376
Os7 0.5000 0.0000 0.7784
Os8 0.5000 0.5000 0.2784
Os9 0.5000 0.5000 0.6151
Os10 0.5000 0.5000 0.9376
# E above lowest polymorph ... 79 meV per atom
# Formation energy without anion corrections ... 0.434 eV per atom
# Raw total energy ... -115.331 eV for the cell shown
# Symmetry ... Amm2

# SbOs5, relaxed, DFT PBE
data_SbOs5
_cell_length_a 3.9186
_cell_length_b 12.1425
_cell_length_c 3.9063
_cell_angle_alpha 90.00
_cell_angle_beta 90.00
_cell_angle_gamma 90.00
_space_group_name_H-M_alt 'P 1'
_space_group_IT_number 1
loop_
_space_group_symop_operation_xyz
'x,y,z'
loop_
_atom_site_label
_atom_site_fract_x
_atom_site_fract_y
_atom_site_fract_z
Sb1 0.0000 0.0000 0.0000
Sb2 0.5000 0.5000 0.0000
Os1 0.0000 0.1772 0.5000
Os2 0.0000 0.3203 0.0000
Os3 0.0000 0.5000 0.5000
Os4 0.0000 0.6797 0.0000
Os5 0.0000 0.8228 0.5000
Os6 0.5000 0.0000 0.5000
Os7 0.5000 0.1797 0.0000
Os8 0.5000 0.3228 0.5000
Os9 0.5000 0.6772 0.5000
Os10 0.5000 0.8203 0.0000
# E above lowest polymorph ... 3 meV per atom
# Formation energy without anion corrections ... 0.358 eV per atom
# Raw total energy ... -116.244 eV for the cell shown
# Symmetry ... Cmmm

# Sb5Os, relaxed, DFT PBE
data_Sb5Os
_cell_length_a 5.8819
_cell_length_b 5.8819
_cell_length_c 5.6930
_cell_angle_alpha 90.00
_cell_angle_beta 90.00
_cell_angle_gamma 120.00
_space_group_name_H-M_alt 'P 1'
_space_group_IT_number 1
loop_
_space_group_symop_operation_xyz
'x,y,z'
loop_
_atom_site_label
_atom_site_fract_x
_atom_site_fract_y
_atom_site_fract_z
Sb1 0.0000 0.5000 0.0000
Sb2 0.3333 0.6667 0.5000
Sb3 0.5000 0.0000 0.0000
Sb4 0.5000 0.5000 0.0000
Sb5 0.6667 0.3333 0.5000
Os1 0.0000 0.0000 0.5000
# E above lowest polymorph ... 1028 meV per atom
# Formation energy without anion corrections ... 1.203 eV per atom
# Raw total energy ... -24.621 eV for the cell shown
# Symmetry ... P6/mmm

# Sb3Os, relaxed, DFT PBE
data_Sb3Os
_cell_length_a 6.6889
_cell_length_b 8.3850
_cell_length_c 6.5646
_cell_angle_alpha 90.00
_cell_angle_beta 90.00
_cell_angle_gamma 90.00
_space_group_name_H-M_alt 'P 1'
_space_group_IT_number 1
loop_
_space_group_symop_operation_xyz
'x,y,z'
loop_
_atom_site_label
_atom_site_fract_x
_atom_site_fract_y
_atom_site_fract_z
Sb1 0.0323 0.2500 0.1234
Sb2 0.1760 0.5703 0.3505
Sb3 0.1760 0.9297 0.3505
Sb4 0.3240 0.0703 0.8505
Sb5 0.3240 0.4297 0.8505
Sb6 0.4677 0.7500 0.6234
Sb7 0.5323 0.2500 0.3766
Sb8 0.6760 0.5703 0.1495
Sb9 0.6760 0.9297 0.1495
Sb10 0.8240 0.0703 0.6495
Sb11 0.8240 0.4297 0.6495
Sb12 0.9677 0.7500 0.8766
Os1 0.1591 0.2500 0.5136
Os2 0.3409 0.7500 0.0136
Os3 0.6591 0.2500 0.9864
Os4 0.8409 0.7500 0.4864
# E above lowest polymorph ... 0 meV per atom
# Formation energy without anion corrections ... 0.208 eV per atom
# Raw total energy ... -91.060 eV for the cell shown
# Symmetry ... Pnma

# Sb3Os4, relaxed, DFT PBE
data_Sb3Os4
_cell_length_a 2.9802
_cell_length_b 2.9802
_cell_length_c 30.1789
_cell_angle_alpha 90.00
_cell_angle_beta 90.00
_cell_angle_gamma 90.00
_space_group_name_H-M_alt 'P 1'
_space_group_IT_number 1
loop_
_space_group_symop_operation_xyz
'x,y,z'
loop_
_atom_site_label
_atom_site_fract_x
_atom_site_fract_y
_atom_site_fract_z
Sb1 0.0000 0.0000 0.0000
Sb2 0.0000 0.0000 0.3088
Sb3 0.0000 0.0000 0.6912
Sb4 0.5000 0.5000 0.1912
Sb5 0.5000 0.5000 0.5000
Sb6 0.5000 0.5000 0.8088
Os1 0.0000 0.0000 0.1233
Os2 0.0000 0.0000 0.4291
Os3 0.0000 0.0000 0.5709
Os4 0.0000 0.0000 0.8767
Os5 0.5000 0.5000 0.0709
Os6 0.5000 0.5000 0.3767
Os7 0.5000 0.5000 0.6233
Os8 0.5000 0.5000 0.9291
# Formation energy without anion corrections ... 0.495 eV per atom
# Raw total energy ... -107.637 eV for the cell shown
# Symmetry ... I4/mmm

# Sb3Os, relaxed, DFT PBE
data_Sb3Os
_cell_length_a 4.3357
_cell_length_b 4.3357
_cell_length_c 21.2606
_cell_angle_alpha 90.00
_cell_angle_beta 90.00
_cell_angle_gamma 90.00
_space_group_name_H-M_alt 'P 1'
_space_group_IT_number 1
loop_
_space_group_symop_operation_xyz
'x,y,z'
loop_
_atom_site_label
_atom_site_fract_x
_atom_site_fract_y
_atom_site_fract_z
Sb1 0.0000 0.0000 0.1160
Sb2 0.0000 0.0000 0.8840
Sb3 0.0000 0.5000 0.0000
Sb4 0.0000 0.5000 0.2500
Sb5 0.0000 0.5000 0.5000
Sb6 0.0000 0.5000 0.7500
Sb7 0.5000 0.0000 0.0000
Sb8 0.5000 0.0000 0.2500
Sb9 0.5000 0.0000 0.5000
Sb10 0.5000 0.0000 0.7500
Sb11 0.5000 0.5000 0.3840
Sb12 0.5000 0.5000 0.6160
Os1 0.0000 0.0000 0.3208
Os2 0.0000 0.0000 0.6792
Os3 0.5000 0.5000 0.1792
Os4 0.5000 0.5000 0.8208
# E above lowest polymorph ... 389 meV per atom
# Formation energy without anion corrections ... 0.597 eV per atom
# Raw total energy ... -84.838 eV for the cell shown
# Symmetry ... I4/mmm

# Sb3Os, relaxed, DFT PBE
data_Sb3Os
_cell_length_a 4.4733
_cell_length_b 4.4733
_cell_length_c 4.4733
_cell_angle_alpha 90.00
_cell_angle_beta 90.00
_cell_angle_gamma 90.00
_space_group_name_H-M_alt 'P 1'
_space_group_IT_number 1
loop_
_space_group_symop_operation_xyz
'x,y,z'
loop_
_atom_site_label
_atom_site_fract_x
_atom_site_fract_y
_atom_site_fract_z
Sb1 0.0000 0.0000 0.5000
Sb2 0.0000 0.5000 0.0000
Sb3 0.5000 0.0000 0.0000
Os1 0.5000 0.5000 0.5000
# E above lowest polymorph ... 658 meV per atom
# Formation energy without anion corrections ... 0.866 eV per atom
# Raw total energy ... -20.134 eV for the cell shown
# Symmetry ... Pm-3m